SrLi4Sm: relaxed, PBE.

Properties
* energy of formation: 0.1099 eV/atom
* crystal system: cubic
* E_tot: -2.2328 eV/atom

Cell: 6.183 6.183 6.183 Å, 60.00 60.00 60.00°
Atoms (fractional coordinates):
Sr: 0.000 0.000 0.000
Li: 0.129 0.624 0.624
Li: 0.624 0.129 0.624
Li: 0.624 0.624 0.129
Li: 0.624 0.624 0.624
Sm: 0.250 0.250 0.250